# 1
# AcGa4NiPd2 PBE-GGA relaxed
# - ρ: 8.71 g/cm³
# - Energy of formation: -578 meV/atom
data_AcGa4NiPd2
_chemical_formula_sum 'Ac3 Ga12 Ni3 Pd6'
_cell_length_a 4.3086
_cell_length_b 4.3086
_cell_length_c 27.6539
_cell_angle_alpha 90.00
_cell_angle_beta 90.00
_cell_angle_gamma 120.00
_symmetry_space_group_name_H-M 'R -3 m'
_symmetry_Int_Tables_number 166
_symmetry_space_group_name_Hall '-R 3 2"'
loop_
_atom_site_label
_atom_site_fract_x
_atom_site_fract_y
_atom_site_fract_z
Ac1 0.0000 0.0000 0.0000
Ga1 0.0000 0.0000 0.1356
Ga2 0.0000 0.0000 0.4082
Ni1 0.0000 0.0000 0.5000
Pd1 0.0000 0.0000 0.2311


# 2
# Ac2Ga6NiPd PBE-GGA relaxed
# - ρ: 7.91 g/cm³
# - Energy of formation: -499 meV/atom
data_Ac2Ga6NiPd
_chemical_formula_sum 'Ac4 Ga12 Ni2 Pd2'
_cell_length_a 12.450
_cell_length_b 5.511
_cell_length_c 8.661
_cell_angle_alpha 90.00
_cell_angle_beta 132.87
_cell_angle_gamma 90.00
_symmetry_space_group_name_H-M 'C 1 2/m 1'
_symmetry_Int_Tables_number 12
loop_
_symmetry_equiv_pos_as_xyz
'x,y,z'
'-x,-y,-z'
'-x,y,-z'
'x,-y,z'
'x+1/2,y+1/2,z'
'-x+1/2,-y+1/2,-z'
'-x+1/2,y+1/2,-z'
'x+1/2,-y+1/2,z'
loop_
_atom_site_label
_atom_site_fract_x
_atom_site_fract_y
_atom_site_fract_z
Ac1 0.247 0.000 0.201
Ga1 0.015 0.249 0.274
Ga2 0.247 0.000 0.604
Ni1 0.000 0.000 0.500
Pd1 0.000 0.500 0.000


# 3
# AcGa3NiPd PBE-GGA relaxed
# - ρ: 7.82 g/cm³
# - Energy of formation: -482 meV/atom
data_AcGa3NiPd
_chemical_formula_sum 'Ac4 Ga12 Ni4 Pd4'
_cell_length_a 6.710
_cell_length_b 11.412
_cell_length_c 6.665
_cell_angle_alpha 90.00
_cell_angle_beta 90.00
_cell_angle_gamma 90.00
_symmetry_space_group_name_H-M 'C m c m'
_symmetry_Int_Tables_number 63
_symmetry_space_group_name_Hall '-C 2c 2'
loop_
_atom_site_label
_atom_site_fract_x
_atom_site_fract_y
_atom_site_fract_z
Ac1 0.000 0.249 0.250
Ga1 0.000 0.264 0.750
Ga2 0.238 0.500 0.000
Ni1 0.000 0.460 0.750
Pd1 0.000 0.055 0.750


# 4
# Ac2GaNiPd6 PBE-GGA relaxed
# - ρ: 9.71 g/cm³
# - Energy of formation: -635 meV/atom
data_Ac2GaNiPd6
_chemical_formula_sum 'Ac4 Ga2 Ni2 Pd12'
_cell_length_a 12.190
_cell_length_b 5.528
_cell_length_c 8.499
_cell_angle_alpha 90.00
_cell_angle_beta 133.18
_cell_angle_gamma 90.00
_symmetry_space_group_name_H-M 'C 1 2/m 1'
_symmetry_Int_Tables_number 12
loop_
_symmetry_equiv_pos_as_xyz
'x,y,z'
'-x,-y,-z'
'-x,y,-z'
'x,-y,z'
'x+1/2,y+1/2,z'
'-x+1/2,-y+1/2,-z'
'-x+1/2,y+1/2,-z'
'x+1/2,-y+1/2,z'
loop_
_atom_site_label
_atom_site_fract_x
_atom_site_fract_y
_atom_site_fract_z
Ac1 0.240 0.000 0.205
Ga1 0.000 0.000 0.500
Ni1 0.000 0.500 0.000
Pd1 0.002 0.252 0.750
Pd2 0.249 0.500 0.399


# 5
# AcPmGaNi PBE-GGA relaxed
# - ρ: 8.12 g/cm³
# - Energy of formation: -261 meV/atom
data_AcPmGaNi
_chemical_formula_sum 'Ac4 Pm4 Ga4 Ni4'
_cell_length_a 7.425
_cell_length_b 7.425
_cell_length_c 7.425
_cell_angle_alpha 90.00
_cell_angle_beta 90.00
_cell_angle_gamma 90.00
_symmetry_space_group_name_H-M 'F -4 3 m'
_symmetry_Int_Tables_number 216
_symmetry_space_group_name_Hall 'F -4 2 3'
loop_
_atom_site_label
_atom_site_fract_x
_atom_site_fract_y
_atom_site_fract_z
Ac1 0.000 0.000 0.000
Pm1 0.000 0.000 0.500
Ga1 0.250 0.250 0.250
Ni1 0.250 0.250 0.750


# 6
# AcGaNiPt PBE-GGA relaxed
# - ρ: 10.75 g/cm³
# - Energy of formation: -750 meV/atom
data_AcGaNiPt
_chemical_formula_sum 'Ac3 Ga3 Ni3 Pt3'
_cell_length_a 4.3462
_cell_length_b 4.3462
_cell_length_c 15.5842
_cell_angle_alpha 90.00
_cell_angle_beta 90.00
_cell_angle_gamma 120.00
_symmetry_space_group_name_H-M 'R 3 m'
_symmetry_Int_Tables_number 160
_symmetry_space_group_name_Hall 'R 3 -2"'
loop_
_atom_site_label
_atom_site_fract_x
_atom_site_fract_y
_atom_site_fract_z
Ac1 0.0000 0.0000 0.0000
Ga1 0.0000 0.0000 0.5036
Ni1 0.0000 0.0000 0.1973
Pt1 0.0000 0.0000 0.7976